(A)
Computed, not measured: Ca2ZnSbF after structural relaxation at the GGA-PBE level of DFT.

Cell lengths 5.742, 5.742, 4.181 Å; angles 90.00, 90.00, 90.00 degrees
Fractional positions:
1 Ca 0.000 0.500 0.000
2 Ca 0.500 0.000 0.000
3 Zn 0.000 0.000 0.000
4 Sb 0.500 0.500 0.500
5 F 0.000 0.000 0.500

(B)
Computed, not measured: Ca2ZnSbF after structural relaxation at the GGA-PBE level of DFT.

Cell lengths 5.706, 5.706, 4.931 Å; angles 90.00, 90.00, 90.00 degrees
Fractional positions:
1 Ca 0.000 0.500 0.000
2 Ca 0.500 0.000 0.000
3 Zn 0.000 0.000 0.000
4 Sb 0.000 0.000 0.500
5 F 0.500 0.500 0.500

Stability ranking, top and bottom: (A) is the most stable and (B) is the least stable.

(A)
Computed, not measured: CaScF3 after structural relaxation at the GGA-PBE level of DFT.

Cell lengths 4.445, 4.445, 4.445 Å; angles 90.00, 90.00, 90.00 degrees
Fractional positions:
1 Ca 0.000 0.000 0.000
2 Sc 0.500 0.500 0.500
3 F 0.000 0.000 0.500
4 F 0.000 0.500 0.000
5 F 0.500 0.000 0.000

(B)
Computed, not measured: CaScF3 after structural relaxation at the GGA-PBE level of DFT.

Cell lengths 4.357, 4.357, 4.357 Å; angles 90.00, 90.00, 90.00 degrees
Fractional positions:
1 Ca 0.000 0.000 0.000
2 Sc 0.500 0.500 0.500
3 F 0.000 0.500 0.500
4 F 0.500 0.000 0.500
5 F 0.500 0.500 0.000

Stability ranking, top and bottom: (B) is the most stable and (A) is the least stable.

(A)
Computed, not measured: Ca3ScF after structural relaxation at the GGA-PBE level of DFT.

Cell lengths 5.192, 5.192, 5.192 Å; angles 90.00, 90.00, 90.00 degrees
Fractional positions:
1 Ca 0.000 0.000 0.500
2 Ca 0.000 0.500 0.000
3 Ca 0.500 0.000 0.000
4 Sc 0.500 0.500 0.500
5 F 0.000 0.000 0.000

(B)
Computed, not measured: Ca3ScF after structural relaxation at the GGA-PBE level of DFT.

Cell lengths 6.063, 6.063, 6.063 Å; angles 90.00, 90.00, 90.00 degrees
Fractional positions:
1 Ca 0.000 0.000 0.500
2 Ca 0.000 0.500 0.000
3 Ca 0.500 0.000 0.000
4 Sc 0.000 0.000 0.000
5 F 0.500 0.500 0.500

Stability ranking, top and bottom: (A) is the most stable and (B) is the least stable.

(A)
Computed, not measured: CaSeF3 after structural relaxation at the GGA-PBE level of DFT.

Cell lengths 4.567, 4.567, 4.567 Å; angles 90.00, 90.00, 90.00 degrees
Fractional positions:
1 Ca 0.000 0.000 0.000
2 Se 0.500 0.500 0.500
3 F 0.000 0.500 0.500
4 F 0.500 0.000 0.500
5 F 0.500 0.500 0.000

(B)
Computed, not measured: CaSeF3 after structural relaxation at the GGA-PBE level of DFT.

Cell lengths 4.486, 4.486, 4.486 Å; angles 90.00, 90.00, 90.00 degrees
Fractional positions:
1 Ca 0.000 0.000 0.000
2 Se 0.500 0.500 0.500
3 F 0.000 0.000 0.500
4 F 0.000 0.500 0.000
5 F 0.500 0.000 0.000

Stability ranking, top and bottom: (B) is the most stable and (A) is the least stable.